The following is a DFT calculation (GGA+U) of a geometry-optimized DyNiIrO6 structure.

Its density of states at the Fermi level is 8.50 states/eV per cell. The magnetic moment is 0.02 μB/atom. Its total DFT energy (no corrections) is -6.44 eV per atom.

a = 5.4006 Å, b = 5.4006 Å, c = 8.5398 Å
α = 90.00°, β = 90.00°, γ = 120.00°
With the nearest neighbours (Å) after each atom.
Sites, in units of the cell vectors:
Dy (0.3333, 0.6667, 0.2500)  6 O 2.24
Dy (0.6667, 0.3333, 0.7500)  6 O 2.24
Ni (0.0000, 0.0000, 0.0000)  6 O 2.13
Ni (0.0000, 0.0000, 0.5000)  6 O 2.13
Ir (0.6667, 0.3333, 0.2500)  6 O 1.93
Ir (0.3333, 0.6667, 0.7500)  6 O 1.93
O (0.6805, 0.6361, 0.1226)  1 Ir 1.93, 1 Ni 2.13
O (0.9556, 0.3195, 0.1226)  1 Ir 1.93, 1 Ni 2.13
O (0.3195, 0.9556, 0.6226)  1 Ir 1.93, 1 Ni 2.13
O (0.0444, 0.6805, 0.8774)  1 Ir 1.93, 1 Ni 2.13
O (0.3639, 0.3195, 0.3774)  1 Ir 1.93, 1 Ni 2.13
O (0.9556, 0.6361, 0.3774)  1 Ir 1.93, 1 Ni 2.13
O (0.6361, 0.9556, 0.8774)  1 Ir 1.93, 1 Ni 2.13
O (0.6805, 0.0444, 0.3774)  1 Ir 1.93, 1 Ni 2.13
O (0.0444, 0.3639, 0.6226)  1 Ir 1.93, 1 Ni 2.13
O (0.3639, 0.0444, 0.1226)  1 Ir 1.93, 1 Ni 2.13
O (0.6361, 0.6805, 0.6226)  1 Ir 1.93, 1 Ni 2.13
O (0.3195, 0.3639, 0.8774)  1 Ir 1.93, 1 Ni 2.13